[1]
{"formula": "Ac4CoRhI2", "functional": "GGA-PBE", "state": "optimized geometry", "lattice_angstrom": [[7.4921, 0.0000, 0.0000], [0.0000, 4.3179, 0.0000], [-2.4696, 0.0000, 8.6515]], "species": ["Ac", "Ac", "Ac", "Ac", "Co", "Rh", "I", "I"], "fractional_positions": [[0.2212, 0.0000, 0.1821], [0.2660, 0.5000, 0.8157], [0.7340, 0.5000, 0.1843], [0.7788, 0.0000, 0.8179], [0.0000, 0.5000, 0.0000], [0.5000, 0.0000, 0.0000], [0.0000, 0.0000, 0.5000], [0.5000, 0.5000, 0.5000]], "dos_ef_per_ev_fu": 2.1, "magnetic_moment_mub_per_fu": 0.000, "e_form_raw_ev_per_atom": -0.828}



[2]
{"formula": "Ac8CoRu3I4", "functional": "GGA-PBE", "state": "optimized geometry", "lattice_angstrom": [[4.3289, 2.4993, 8.6487], [-4.3289, 2.4993, 8.6487], [0.0000, -4.9985, 8.6487]], "species": ["Ac", "Ac", "Ac", "Ac", "Ac", "Ac", "Ac", "Ac", "Co", "Ru", "Ru", "Ru", "I", "I", "I", "I"], "fractional_positions": [[0.2282, 0.2282, 0.2282], [0.2287, 0.7273, 0.7273], [0.2727, 0.2727, 0.7713], [0.2727, 0.7714, 0.2727], [0.7273, 0.2286, 0.7273], [0.7273, 0.7273, 0.2286], [0.7714, 0.2727, 0.2727], [0.7718, 0.7718, 0.7718], [0.5000, 0.5000, 0.5000], [0.0000, 0.0000, 0.5000], [0.0000, 0.5000, 0.0000], [0.5000, 0.0000, 0.0000], [0.0000, 0.0000, 0.0000], [0.0000, 0.5000, 0.5000], [0.5000, 0.0000, 0.5000], [0.5000, 0.5000, 0.0000]], "dos_ef_per_ev_fu": 7.5, "magnetic_moment_mub_per_fu": 0.000, "e_form_raw_ev_per_atom": -0.672}



[3]
{"formula": "Ac8CoRu3I3", "functional": "GGA-PBE", "state": "optimized geometry", "lattice_angstrom": [[7.4674, -4.3084, 0.0000], [7.4674, 4.3084, 0.0000], [-4.9883, 0.0000, 8.7823]], "species": ["Ac", "Ac", "Ac", "Ac", "Ac", "Ac", "Ac", "Ac", "Co", "Ru", "Ru", "Ru", "I", "I", "I"], "fractional_positions": [[0.2239, 0.2239, 0.6776], [0.2240, 0.7297, 0.6774], [0.2703, 0.7760, 0.3226], [0.2724, 0.2724, 0.3170], [0.7276, 0.7276, 0.6830], [0.7297, 0.2240, 0.6774], [0.7760, 0.2703, 0.3226], [0.7761, 0.7761, 0.3224], [0.0000, 0.0000, 0.5000], [0.0000, 0.5000, 0.5000], [0.5000, 0.0000, 0.5000], [0.5000, 0.5000, 0.5000], [0.0000, 0.0000, 0.0000], [0.0000, 0.5000, 0.0000], [0.5000, 0.0000, 0.0000]], "dos_ef_per_ev_fu": 6.0, "magnetic_moment_mub_per_fu": 0.000, "e_form_raw_ev_per_atom": -0.547}



[4]
{"formula": "Ac8Co3RuI4", "functional": "GGA-PBE", "state": "optimized geometry", "lattice_angstrom": [[7.4208, -4.2805, 0.0000], [7.4208, 4.2805, 0.0000], [-4.9638, 0.0000, 8.6489]], "species": ["Ac", "Ac", "Ac", "Ac", "Ac", "Ac", "Ac", "Ac", "Co", "Co", "Co", "Ru", "I", "I", "I", "I"], "fractional_positions": [[0.2263, 0.7285, 0.6832], [0.2266, 0.2266, 0.6798], [0.2713, 0.2713, 0.3170], [0.2715, 0.7737, 0.3168], [0.7285, 0.2263, 0.6832], [0.7287, 0.7287, 0.6830], [0.7734, 0.7734, 0.3202], [0.7737, 0.2715, 0.3168], [0.0000, 0.0000, 0.5000], [0.0000, 0.5000, 0.5000], [0.5000, 0.0000, 0.5000], [0.5000, 0.5000, 0.5000], [0.0000, 0.0000, 0.0000], [0.0000, 0.5000, 0.0000], [0.5000, 0.0000, 0.0000], [0.5000, 0.5000, 0.0000]], "dos_ef_per_ev_fu": 6.8, "magnetic_moment_mub_per_fu": 0.000, "e_form_raw_ev_per_atom": -0.641}



[5]
{"formula": "Ac6CoRu2I3", "functional": "GGA-PBE", "state": "optimized geometry", "lattice_angstrom": [[3.7404, -6.4780, 0.0000], [3.7404, 6.4780, 0.0000], [-2.4944, 0.0000, 8.6503]], "species": ["Ac", "Ac", "Ac", "Ac", "Ac", "Ac", "Co", "Ru", "Ru", "I", "I", "I"], "fractional_positions": [[0.0611, 0.3926, 0.1834], [0.2703, 0.2703, 0.8163], [0.3926, 0.0611, 0.1834], [0.6074, 0.9389, 0.8166], [0.7297, 0.7297, 0.1837], [0.9389, 0.6074, 0.8166], [0.0000, 0.0000, 0.0000], [0.3335, 0.6665, 0.0000], [0.6665, 0.3335, 0.0000], [0.1682, 0.8318, 0.5000], [0.5000, 0.5000, 0.5000], [0.8318, 0.1682, 0.5000]], "dos_ef_per_ev_fu": 7.1, "magnetic_moment_mub_per_fu": 0.000, "e_form_raw_ev_per_atom": -0.667}



[6]
{"formula": "Ac4CoRuI2", "functional": "GGA-PBE", "state": "optimized geometry", "lattice_angstrom": [[7.4414, 0.0000, 0.0000], [0.0000, 4.3112, 0.0000], [-2.5089, 0.0000, 8.6538]], "species": ["Ac", "Ac", "Ac", "Ac", "Co", "Ru", "I", "I"], "fractional_positions": [[0.2260, 0.0000, 0.1822], [0.2706, 0.5000, 0.8160], [0.7294, 0.5000, 0.1840], [0.7740, 0.0000, 0.8178], [0.0000, 0.5000, 0.0000], [0.5000, 0.0000, 0.0000], [0.0000, 0.0000, 0.5000], [0.5000, 0.5000, 0.5000]], "dos_ef_per_ev_fu": 4.4, "magnetic_moment_mub_per_fu": 0.000, "e_form_raw_ev_per_atom": -0.657}



[7]
{"formula": "Ac8Co3SI4", "functional": "GGA-PBE", "state": "optimized geometry", "lattice_angstrom": [[4.3478, 2.5102, 8.5539], [-4.3478, 2.5102, 8.5539], [0.0000, -5.0204, 8.5539]], "species": ["Ac", "Ac", "Ac", "Ac", "Ac", "Ac", "Ac", "Ac", "Co", "Co", "Co", "S", "I", "I", "I", "I"], "fractional_positions": [[0.2122, 0.7361, 0.7361], [0.2267, 0.2267, 0.2267], [0.2639, 0.2639, 0.7878], [0.2639, 0.7878, 0.2639], [0.7361, 0.2122, 0.7361], [0.7361, 0.7361, 0.2122], [0.7733, 0.7733, 0.7733], [0.7878, 0.2639, 0.2639], [0.0000, 0.0000, 0.5000], [0.0000, 0.5000, 0.0000], [0.5000, 0.0000, 0.0000], [0.5000, 0.5000, 0.5000], [0.0000, 0.0000, 0.0000], [0.0000, 0.5000, 0.5000], [0.5000, 0.0000, 0.5000], [0.5000, 0.5000, 0.0000]], "dos_ef_per_ev_fu": 6.8, "magnetic_moment_mub_per_fu": 0.000, "e_form_raw_ev_per_atom": -0.819}



[8]
{"formula": "Ac8Co3SeI4", "functional": "GGA-PBE", "state": "optimized geometry", "lattice_angstrom": [[4.3951, 2.5375, 8.5385], [-4.3951, 2.5375, 8.5385], [0.0000, -5.0750, 8.5385]], "species": ["Ac", "Ac", "Ac", "Ac", "Ac", "Ac", "Ac", "Ac", "Co", "Co", "Co", "Se", "I", "I", "I", "I"], "fractional_positions": [[0.2066, 0.7396, 0.7396], [0.2269, 0.2269, 0.2269], [0.2604, 0.2604, 0.7934], [0.2604, 0.7934, 0.2604], [0.7396, 0.2066, 0.7396], [0.7396, 0.7396, 0.2066], [0.7731, 0.7731, 0.7731], [0.7934, 0.2604, 0.2604], [0.0000, 0.0000, 0.5000], [0.0000, 0.5000, 0.0000], [0.5000, 0.0000, 0.0000], [0.5000, 0.5000, 0.5000], [0.0000, 0.0000, 0.0000], [0.0000, 0.5000, 0.5000], [0.5000, 0.0000, 0.5000], [0.5000, 0.5000, 0.0000]], "dos_ef_per_ev_fu": 8.0, "magnetic_moment_mub_per_fu": 0.000, "e_form_raw_ev_per_atom": -0.795}



[9]
{"formula": "Ac8CoSi3I4", "functional": "GGA-PBE", "state": "optimized geometry", "lattice_angstrom": [[4.5590, 2.6321, 8.1936], [-4.5590, 2.6321, 8.1936], [0.0000, -5.2643, 8.1936]], "species": ["Ac", "Ac", "Ac", "Ac", "Ac", "Ac", "Ac", "Ac", "Co", "Si", "Si", "Si", "I", "I", "I", "I"], "fractional_positions": [[0.2342, 0.2342, 0.2342], [0.2475, 0.7219, 0.7219], [0.2781, 0.2781, 0.7525], [0.2781, 0.7525, 0.2781], [0.7219, 0.2475, 0.7219], [0.7219, 0.7219, 0.2475], [0.7525, 0.2781, 0.2781], [0.7658, 0.7658, 0.7658], [0.5000, 0.5000, 0.5000], [0.0000, 0.0000, 0.5000], [0.0000, 0.5000, 0.0000], [0.5000, 0.0000, 0.0000], [0.0000, 0.0000, 0.0000], [0.0000, 0.5000, 0.5000], [0.5000, 0.0000, 0.5000], [0.5000, 0.5000, 0.0000]], "dos_ef_per_ev_fu": 13.8, "magnetic_moment_mub_per_fu": 1.253, "e_form_raw_ev_per_atom": -0.805}



[10]
{"formula": "AcSmCoI", "functional": "GGA-PBE", "state": "optimized geometry", "lattice_angstrom": [[4.1317, 0.0000, 0.0000], [-2.0659, 3.5782, 0.0000], [0.0000, 0.0000, 25.1133]], "species": ["Ac", "Ac", "Ac", "Sm", "Sm", "Sm", "Co", "Co", "Co", "I", "I", "I"], "fractional_positions": [[0.0000, 0.0000, 0.0000], [0.3333, 0.6667, 0.6667], [0.6667, 0.3333, 0.3333], [0.0000, 0.0000, 0.2130], [0.3333, 0.6667, 0.8796], [0.6667, 0.3333, 0.5463], [0.0000, 0.0000, 0.6035], [0.3333, 0.6667, 0.2702], [0.6667, 0.3333, 0.9368], [0.0000, 0.0000, 0.7822], [0.3333, 0.6667, 0.4489], [0.6667, 0.3333, 0.1155]], "dos_ef_per_ev_fu": 0.8, "magnetic_moment_mub_per_fu": 0.000, "e_form_raw_ev_per_atom": -0.581}



What did the second record say?
{"formula": "Ac8CoRu3I4", "functional": "GGA-PBE", "state": "optimized geometry", "lattice_angstrom": [[4.3289, 2.4993, 8.6487], [-4.3289, 2.4993, 8.6487], [0.0000, -4.9985, 8.6487]], "species": ["Ac", "Ac", "Ac", "Ac", "Ac", "Ac", "Ac", "Ac", "Co", "Ru", "Ru", "Ru", "I", "I", "I", "I"], "fractional_positions": [[0.2282, 0.2282, 0.2282], [0.2287, 0.7273, 0.7273], [0.2727, 0.2727, 0.7713], [0.2727, 0.7714, 0.2727], [0.7273, 0.2286, 0.7273], [0.7273, 0.7273, 0.2286], [0.7714, 0.2727, 0.2727], [0.7718, 0.7718, 0.7718], [0.5000, 0.5000, 0.5000], [0.0000, 0.0000, 0.5000], [0.0000, 0.5000, 0.0000], [0.5000, 0.0000, 0.0000], [0.0000, 0.0000, 0.0000], [0.0000, 0.5000, 0.5000], [0.5000, 0.0000, 0.5000], [0.5000, 0.5000, 0.0000]], "dos_ef_per_ev_fu": 7.5, "magnetic_moment_mub_per_fu": 0.000, "e_form_raw_ev_per_atom": -0.672}



What is the formula in the fifth record?
Ac6CoRu2I3